HgTe2As | PBE-GGA | relaxed

Values from the calculation:
E_form (uncorrected) in eV/atom: 0.08
Energy above the most stable polymorph in this dataset in meV/atom: 86.6
SG: R-3m (166)

The structure in POSCAR format:
```
HgTe2As
1.0
1.912 1.104 11.225
-1.912 1.104 11.225
0.000 -2.207 11.225
Hg Te As
1 2 1
Direct
0.000 0.000 0.000 Hg
0.113 0.113 0.113 Te
0.887 0.887 0.887 Te
0.500 0.500 0.500 As
```